# 1
# ZrZn2In

An optimized crystal structure of ZrZn2In (PBE, Alexandria).

Properties
Formation enthalpy at 0 K, eV/atom: 0.04

a b c (Å): 9.6485 9.6485 9.6485
angles (deg): 18.57 18.57 18.57
Sites, in units of the cell vectors:
In 0.2548 0.2548 0.2548
Zn 0.0063 0.0063 0.0063
Zn 0.7442 0.7442 0.7442
Zr 0.4948 0.4948 0.4948

=====

# 2
# UPaHgO6

An optimized crystal structure of UPaHgO6 (PBE, Alexandria).

Properties
Formation energy (no corrections), eV/atom: -2.629

a b c (Å): 6.0050 6.0050 10.4054
angles (deg): 90.00 90.00 120.00
Sites, in units of the cell vectors:
U 0.6667 0.3333 0.2500
U 0.3333 0.6667 0.7500
Pa 0.3333 0.6667 0.2500
Pa 0.6667 0.3333 0.7500
Hg 0.0000 0.0000 0.0000
Hg 0.0000 0.0000 0.5000
O 0.6238 0.6129 0.1488
O 0.9891 0.3762 0.1488
O 0.3762 0.9891 0.6488
O 0.0109 0.6238 0.8512
O 0.3871 0.3762 0.3512
O 0.9891 0.6129 0.3512
O 0.6129 0.9891 0.8512
O 0.6238 0.0109 0.3512
O 0.0109 0.3871 0.6488
O 0.3871 0.0109 0.1488
O 0.6129 0.6238 0.6488
O 0.3762 0.3871 0.8512

=====

# 3
# Pm4Nd8Sm

An optimized crystal structure of Pm4Nd8Sm (PBE, Alexandria).

Properties
Formation enthalpy at 0 K, eV/atom: 0.17

a b c (Å): 7.4833 7.4833 10.4089
angles (deg): 90.00 111.07 120.00
Sites, in units of the cell vectors:
Pm 0.0000 0.0000 0.0000
Pm 0.0000 0.5000 0.0000
Pm 0.5000 0.5000 0.0000
Pm 0.5000 0.0000 0.0000
Nd 0.5684 0.7842 0.3526
Nd 0.4316 0.2158 0.6474
Nd 0.4986 0.2493 0.3021
Nd 0.9472 0.1965 0.6979
Nd 0.5014 0.7507 0.6979
Nd 0.9472 0.7507 0.6979
Nd 0.0528 0.2493 0.3021
Nd 0.0528 0.8035 0.3021
Sm 0.0000 0.5000 0.5000